# 1
This record from Alexandria via LeMat-Bulk describes crystalline Al5C at its relaxed geometry. The functional is PBE.

The value obtained for the energy above the most stable polymorph in this dataset is 0 meV/atom.

The structure belongs to space group Cm (No. 8); the cell edges are 9.295, 2.926 and 6.663 Å and the angles 90.00°, 105.46° and 90.00°. Symmetry generates all atoms from Al at (0.000, 0.000, 0.000), Al at (0.082, 0.500, 0.394), Al at (0.202, 0.000, 0.775), Al at (0.288, 0.000, 0.192), Al at (0.385, 0.500, 0.570) and C at (0.169, 0.500, 0.985).

# 2
This record from Alexandria via LeMat-Bulk describes crystalline AlC at its relaxed geometry. The functional is PBE.

The value obtained for the energy above the most stable polymorph in this dataset is 851 meV/atom.

The structure belongs to space group R-3m (No. 166, hexagonal axes); the cell edges are 4.9996, 4.9996 and 7.9712 Å and the angles 90.00°, 90.00° and 120.00°. Symmetry generates all atoms from Al at (0.0000, 0.0000, 0.1732) and C at (0.0000, 0.0000, 0.4197).

# 3
This record from Alexandria via LeMat-Bulk describes crystalline Al3C4 at its relaxed geometry. The functional is PBE.

The value obtained for the energy above the most stable polymorph in this dataset is 164 meV/atom.

The structure belongs to space group I4/mmm (No. 139); the cell edges are 3.203, 3.203 and 13.605 Å and the angles 90.00°, 90.00° and 90.00°. Symmetry generates all atoms from Al at (0.000, 0.000, 0.000), Al at (0.000, 0.000, 0.312), C at (0.000, 0.000, 0.162) and C at (0.000, 0.000, 0.453).

# 4
This record from Alexandria via LeMat-Bulk describes crystalline Al5C3 at its relaxed geometry. The functional is PBE.

The value obtained for the energy above the most stable polymorph in this dataset is 280 meV/atom.

The structure belongs to space group P6_3/mcm (No. 193); the cell edges are 5.9247, 5.9247 and 5.9095 Å and the angles 90.00°, 90.00° and 120.00°. Symmetry generates all atoms from Al at (0.0000, 0.2439, 0.2500), Al at (0.3333, 0.6667, 0.0000) and C at (0.0000, 0.4122, 0.7500).

# 5
This record from Alexandria via LeMat-Bulk describes crystalline AlC at its relaxed geometry. The functional is PBE.

The value obtained for the energy above the most stable polymorph in this dataset is 178 meV/atom.

The structure belongs to space group P4/m (No. 83); the cell edges are 8.685, 8.685 and 3.403 Å and the angles 90.00°, 90.00° and 90.00°. Symmetry generates all atoms from Al at (0.068, 0.293, 0.000), Al at (0.176, 0.649, 0.500), C at (0.059, 0.444, 0.500) and C at (0.164, 0.751, 0.000).

# 6
This record from Alexandria via LeMat-Bulk describes crystalline Al5C3 at its relaxed geometry. The functional is PBE.

The value obtained for the energy above the most stable polymorph in this dataset is 524 meV/atom.

The structure belongs to space group Cmmm (No. 65); the cell edges are 6.438, 9.263 and 3.116 Å and the angles 90.00°, 90.00° and 90.00°. Symmetry generates all atoms from Al at (0.000, 0.000, 0.000), Al at (0.194, 0.500, 0.500), Al at (0.250, 0.250, 0.000), C at (0.000, 0.166, 0.500) and C at (0.000, 0.500, 0.000).

# 7
This record from Alexandria via LeMat-Bulk describes crystalline Al5C7 at its relaxed geometry. The functional is PBE.

The structure belongs to space group I4mm (No. 107); the cell edges are 7.821, 7.821 and 4.704 Å and the angles 90.00°, 90.00° and 90.00°. Symmetry generates all atoms from Al at (0.000, 0.000, 0.000), Al at (0.173, 0.173, 0.444), C at (0.000, 0.000, 0.602), C at (0.000, 0.368, 0.396) and C at (0.000, 0.500, 0.151).

# 8
This record from Alexandria via LeMat-Bulk describes crystalline Al3C4 at its relaxed geometry. The functional is PBE.

The value obtained for the energy above the most stable polymorph in this dataset is 670 meV/atom.

The structure belongs to space group P-43m (No. 215); the cell edges are 4.814, 4.814 and 4.814 Å and the angles 90.00°, 90.00° and 90.00°. Symmetry generates all atoms from Al at (0.000, 0.000, 0.500) and C at (0.187, 0.187, 0.187).

Number 1: DFT total energy -4.455 eV/atom. Number 2: DFT total energy -5.408 eV/atom. Number 3: DFT total energy -6.091 eV/atom. Number 4: DFT total energy -5.279 eV/atom. Number 5: DFT total energy -6.081 eV/atom. Number 6: DFT total energy -5.034 eV/atom. Number 7: DFT total energy -6.223 eV/atom. Number 8: DFT total energy -5.585 eV/atom.